(1)
A geometry-optimized ZrGeSeBr2 structure. Source: the Alexandria database, functional GGA-PBE. Values from VASP.

Output
**Energy**: -0.3162 Ry/atom
**Offset from the most stable computed form**: 0.00 eV/f.u.

Geometry as Quantum ESPRESSO input:
```
&SYSTEM
  ibrav = 0, nat = 5, ntyp = 4
/
ATOMIC_SPECIES
Br 79.90 Br.upf
Zr 91.22 Zr.upf
Ge 72.64 Ge.upf
Se 78.96 Se.upf
CELL_PARAMETERS angstrom
5.330 0.000 0.000
0.000 5.330 0.000
0.000 0.000 5.261
ATOMIC_POSITIONS crystal
Br 0.500 0.000 0.000
Br 0.000 0.500 0.000
Zr 0.000 0.000 0.000
Ge 0.500 0.500 0.500
Se 0.000 0.000 0.500
```

---

(2)
A geometry-optimized K16Rb12Na structure. Source: the Alexandria database, functional GGA-PBE. Values from VASP.

Output
**Energy**: -0.0753 Ry/atom
**DFT formation energy**: 27 meV/atom

Geometry as Quantum ESPRESSO input:
```
&SYSTEM
  ibrav = 0, nat = 29, ntyp = 3
/
ATOMIC_SPECIES
Rb 85.47 Rb.upf
K 39.10 K.upf
Na 22.99 Na.upf
CELL_PARAMETERS angstrom
13.875 -0.124 -4.687
-6.959 12.005 -4.687
-0.057 -0.098 13.927
ATOMIC_POSITIONS crystal
Rb 0.176 0.991 0.369
Rb 0.803 0.181 0.811
Rb 0.991 0.176 0.369
Rb 0.181 0.803 0.811
Rb 0.656 0.656 0.844
Rb 0.801 0.620 0.588
Rb 0.383 0.010 0.203
Rb 0.375 0.190 0.990
Rb 0.190 0.375 0.990
Rb 0.010 0.383 0.203
Rb 0.783 0.783 0.234
Rb 0.620 0.801 0.588
K 0.413 0.998 0.676
K 0.633 0.994 0.999
K 0.332 0.332 0.720
K 0.722 0.314 0.306
K 0.314 0.722 0.306
K 0.685 0.022 0.414
K 0.603 0.296 0.608
K 0.412 0.686 0.011
K 0.296 0.603 0.608
K 0.998 0.413 0.676
K 0.022 0.685 0.414
K 0.363 0.363 0.364
K 0.012 0.012 0.647
K 0.004 0.004 0.997
K 0.994 0.633 0.999
K 0.686 0.412 0.011
Na 0.542 0.542 0.244
```

---

(3)
A geometry-optimized La2NiHRh structure. Source: the Alexandria database, functional GGA-PBE. Values from VASP.

Output
**Energy**: -0.4210 Ry/atom
**Offset from the most stable computed form**: 0.18 eV/f.u.

Geometry as Quantum ESPRESSO input:
```
&SYSTEM
  ibrav = 0, nat = 5, ntyp = 4
/
ATOMIC_SPECIES
Ni 58.69 Ni.upf
La 138.91 La.upf
Rh 102.91 Rh.upf
H 1.01 H.upf
CELL_PARAMETERS angstrom
5.169 0.000 0.000
0.000 5.169 0.000
0.000 0.000 3.598
ATOMIC_POSITIONS crystal
Ni 0.500 0.500 0.500
La 0.500 0.000 0.000
La 0.000 0.500 0.000
Rh 0.000 0.000 0.500
H 0.000 0.000 0.000
```

---

DOS at the Fermi energy? In order: 0.94 0.70 0.68 states/eV per atom.